The following is a PBE calculation of crystalline BeAsBr2 at its relaxed geometry, from Alexandria.

Computed properties:
V: 81.66 Å³/cell
Raw total energy: -8.5 eV per formula unit
Energy relative to the elements, uncorrected: 0.81 eV per atom

Lattice parameters (Å, degrees): 4.8698 4.8698 4.8698 60.00 60.00 60.00
Sites, in units of the cell vectors:
Br1 0.7500 0.7500 0.7500
As1 0.5000 0.5000 0.5000
Be1 0.0000 0.0000 0.0000
Br2 0.2500 0.2500 0.2500